i) Entry from the Alexandria database: a relaxed La3Zn2Pd4 crystal (PBE-GGA).

Structure (extended XYZ):
```
9
Lattice="4.433 0.000 0.000 -2.216 5.139 0.080 0.000 -1.236 8.839" Properties=species:S:1:pos:R:3 pbc="T T T"
Pd 2.216 2.132 0.813
Pd 2.216 3.810 3.257
Pd 0.000 0.093 5.663
Pd 0.000 1.772 8.106
La 0.000 3.109 5.531
La 0.000 0.000 0.000
La 2.216 0.794 3.388
Zn 0.000 3.008 1.954
Zn 2.216 0.895 6.965
```

Space-group type: C2/m
M_tot (μB/f.u.): 0.00
Volume (Å³/f.u.): 201.8

***

ii) Entry from the Alexandria database: a relaxed La3Zn2Pd4 crystal (PBE-GGA).

Structure (extended XYZ):
```
9
Lattice="-3.039 2.813 1.338 -2.056 -5.755 0.351 5.118 2.232 6.934" Properties=species:S:1:pos:R:3 pbc="T T T"
Zn -0.969 0.780 3.239
Zn 0.992 -1.489 5.385
Pd 2.687 -0.453 7.059
Pd -2.665 -0.256 1.565
Pd -1.512 -0.929 5.598
Pd 1.535 0.220 3.025
La 0.000 0.000 0.000
La -0.960 -2.404 2.877
La 0.982 1.695 5.746
```

Space-group type: C2/m
M_tot (μB/f.u.): 0.00
Volume (Å³/f.u.): 202.1

***

Most stable: ii) (next structure +0.018 eV/atom)

***

i) Entry from the Alexandria database: a relaxed La2Zn3Pd5 crystal (PBE-GGA).

Structure (extended XYZ):
```
20
Lattice="-2.667 -2.685 -2.056 5.236 -4.554 -0.845 -1.637 -4.109 12.003" Properties=species:S:1:pos:R:3 pbc="T T T"
La -0.330 -2.650 -0.622
La 3.067 -5.493 3.195
La -1.766 -6.176 5.847
La 0.972 -8.447 9.771
Pd 2.453 -3.050 0.802
Pd 2.306 -6.026 0.368
Pd 0.279 -2.172 2.476
Pd -1.443 -3.081 5.896
Pd 1.410 -6.118 6.162
Pd -1.896 -3.997 3.169
Pd 0.020 -8.625 6.728
Pd -0.827 -5.798 8.646
Pd 0.077 -6.269 3.577
Pd -3.791 -6.323 8.666
Zn -1.859 -8.154 8.551
Zn 1.373 -8.255 4.489
Zn 4.496 -4.677 0.276
Zn 2.715 -8.276 7.287
Zn 0.488 -3.902 4.463
Zn 0.165 -4.767 1.501
```

Space-group type: Cmc2_1
M_tot (μB/f.u.): 0.00
Volume (Å³/f.u.): 189.8

***

ii) Entry from the Alexandria database: a relaxed La2Zn3Pd5 crystal (PBE-GGA).

Structure (extended XYZ):
```
20
Lattice="5.709 0.000 0.000 2.855 8.378 0.587 2.855 1.873 8.187" Properties=species:S:1:pos:R:3 pbc="T T T"
Pd 8.564 7.969 2.807
Pd 7.137 5.125 4.387
Pd 1.427 2.009 1.720
Pd 2.855 2.282 5.967
Pd 9.991 8.241 7.054
Pd 5.709 4.003 7.441
Pd 4.282 5.125 4.387
Pd 7.137 8.241 7.054
Pd 4.282 2.009 1.720
Pd 5.709 6.248 1.334
La 2.855 5.274 1.345
La 8.564 4.976 7.429
La 5.709 2.143 5.004
La 5.709 8.108 3.771
Zn 4.282 0.000 0.000
Zn 1.427 0.000 0.000
Zn 5.709 6.239 6.268
Zn 2.855 3.095 3.578
Zn 8.564 7.156 5.197
Zn 5.709 4.012 2.506
```

Space-group type: Ibam
M_tot (μB/f.u.): 0.00
Volume (Å³/f.u.): 192.7

***

Most stable: ii) (next structure +0.030 eV/atom)

***

i) Entry from the Alexandria database: a relaxed La3ZnPd crystal (PBE-GGA).

Structure (extended XYZ):
```
5
Lattice="5.652 0.000 0.000 0.000 5.652 0.000 0.000 0.000 5.652" Properties=species:S:1:pos:R:3 pbc="T T T"
Zn 2.826 2.826 2.826
Pd 0.000 0.000 0.000
La 2.826 0.000 0.000
La 0.000 0.000 2.826
La 0.000 2.826 0.000
```

Space-group type: Pm-3m
M_tot (μB/f.u.): 0.00
Volume (Å³/f.u.): 180.6

***

ii) Entry from the Alexandria database: a relaxed La3ZnPd crystal (PBE-GGA).

Structure (extended XYZ):
```
10
Lattice="5.305 -0.502 2.447 1.486 5.118 2.447 -0.160 -0.109 9.792" Properties=species:S:1:pos:R:3 pbc="T T T"
La 1.884 1.280 4.491
La 0.534 0.363 7.194
La 1.847 1.255 10.246
La 6.097 4.144 7.492
La 4.747 3.226 10.195
La 4.783 3.251 4.440
Zn 2.613 3.287 7.343
Zn 4.018 1.220 7.343
Pd 2.509 3.612 2.447
Pd 4.282 1.003 2.447
```

Space-group type: C2/m
M_tot (μB/f.u.): 0.00
Volume (Å³/f.u.): 138.2

***

Most stable: ii) (next structure +0.377 eV/atom)

***

i) Entry from the Alexandria database: a relaxed LaZr2Pd2 crystal (PBE-GGA).

Structure (extended XYZ):
```
5
Lattice="-2.124 -1.183 4.359 3.651 -3.286 0.887 3.408 1.312 4.874" Properties=species:S:1:pos:R:3 pbc="T T T"
Pd 3.911 -2.104 4.192
Pd 1.024 -1.053 5.928
La 0.000 0.000 0.000
Zr 3.386 -1.976 6.829
Zr 1.549 -1.181 3.292
```

Space-group type: I4/mmm
M_tot (μB/f.u.): 0.00
Volume (Å³/f.u.): 123.7

***

ii) Entry from the Alexandria database: a relaxed LaZr2Pd2 crystal (PBE-GGA).

Structure (extended XYZ):
```
5
Lattice="-4.426 -0.109 -1.545 -0.852 -3.736 2.702 -4.141 1.364 4.649" Properties=species:S:1:pos:R:3 pbc="T T T"
Zr -3.816 -2.148 3.965
Zr -5.603 -0.334 1.841
La 0.000 0.000 0.000
Pd -6.409 -1.370 4.223
Pd -3.010 -1.111 1.583
```

Space-group type: I4/mmm
M_tot (μB/f.u.): 0.00
Volume (Å³/f.u.): 119.7

***

iii) Entry from the Alexandria database: a relaxed LaZr2Pd2 crystal (PBE-GGA).

Structure (extended XYZ):
```
10
Lattice="8.141 0.000 0.000 0.000 8.141 0.000 0.000 0.000 3.211" Properties=species:S:1:pos:R:3 pbc="T T T"
Pd 2.928 1.143 1.605
Pd 1.143 5.214 1.605
Pd 5.214 6.998 1.605
Pd 6.998 2.928 1.605
Zr 2.835 6.906 0.000
Zr 5.306 1.235 0.000
Zr 1.235 2.835 0.000
Zr 6.906 5.306 0.000
La 0.000 0.000 0.000
La 4.071 4.071 0.000
```

Space-group type: P4/mbm
M_tot (μB/f.u.): 0.00
Volume (Å³/f.u.): 106.4

***

Most stable: ii) (next structure +0.074 eV/atom)

***

i) Entry from the Alexandria database: a relaxed LaZr3Pd crystal (PBE-GGA).

Structure (extended XYZ):
```
5
Lattice="-4.849 -1.377 1.169 1.587 -4.847 0.873 0.863 1.177 4.964" Properties=species:S:1:pos:R:3 pbc="T T T"
Zr 0.431 0.588 2.482
Zr -2.424 -0.689 0.585
Zr 0.794 -2.423 0.437
La -1.199 -2.523 3.503
Pd 0.000 0.000 0.000
```

Space-group type: Pm-3m
M_tot (μB/f.u.): 0.00
Volume (Å³/f.u.): 138.5

***

ii) Entry from the Alexandria database: a relaxed LaZr3Pd crystal (PBE-GGA).

Structure (extended XYZ):
```
5
Lattice="5.086 0.000 0.000 0.000 5.086 0.000 0.000 0.000 5.086" Properties=species:S:1:pos:R:3 pbc="T T T"
Zr 2.543 0.000 0.000
Zr 0.000 0.000 2.543
Zr 0.000 2.543 0.000
Pd 2.543 2.543 2.543
La 0.000 0.000 0.000
```

Space-group type: Pm-3m
M_tot (μB/f.u.): 0.00
Volume (Å³/f.u.): 131.6

***

Most stable: i) (next structure +1.090 eV/atom)

***

i) Entry from the Alexandria database: a relaxed La2ZrPd crystal (PBE-GGA).

Structure (extended XYZ):
```
8
Lattice="-0.543 -4.807 6.866 -5.600 -4.912 -3.881 -0.714 -6.684 0.401" Properties=species:S:1:pos:R:3 pbc="T T T"
Pd -2.164 -8.175 4.380
Pd 0.000 0.000 0.000
La -1.240 -5.487 4.189
La -3.724 -5.144 -1.750
La -6.141 -13.719 2.753
La -2.609 -8.456 1.580
Zr -4.692 -8.228 -0.994
Zr -3.071 -4.859 1.492
```

Space-group type: I-42d
M_tot (μB/f.u.): 0.00
Volume (Å³/f.u.): 112.0

***

ii) Entry from the Alexandria database: a relaxed La2ZrPd crystal (PBE-GGA).

Structure (extended XYZ):
```
4
Lattice="-0.384 -1.161 -3.414 3.205 -1.683 0.212 -3.790 -6.868 2.763" Properties=species:S:1:pos:R:3 pbc="T T T"
La -0.837 -1.517 0.610
La -2.953 -5.351 2.153
Pd 1.410 -1.422 -1.601
Zr -0.485 -4.856 -0.219
```

Space-group type: P4/mmm
M_tot (μB/f.u.): 0.00
Volume (Å³/f.u.): 109.4

***

Most stable: ii) (next structure +0.236 eV/atom)

***

i) Entry from the Alexandria database: a relaxed La2Pm crystal (PBE-GGA).

Structure (extended XYZ):
```
6
Lattice="-4.190 -0.720 -5.262 -1.887 -6.181 -2.000 -6.358 -2.084 0.999" Properties=species:S:1:pos:R:3 pbc="T T T"
La -7.772 -5.615 -3.914
La -4.593 -4.573 -4.414
La -6.828 -2.525 -2.914
La -5.677 -5.255 -1.283
Pm 0.000 0.000 0.000
Pm -3.109 -2.246 -1.566
```

Space-group type: Fd-3m
M_tot (μB/f.u.): 0.00
Volume (Å³/f.u.): 109.4

***

ii) Entry from the Alexandria database: a relaxed La2Pm crystal (PBE-GGA).

Structure (extended XYZ):
```
3
Lattice="-1.689 -2.467 -2.199 3.236 -1.739 -0.534 -2.201 -2.468 7.591" Properties=species:S:1:pos:R:3 pbc="T T T"
Pm 0.000 0.000 0.000
La -0.955 -3.057 4.162
La 0.300 -3.617 0.695
```

Space-group type: I4/mmm
M_tot (μB/f.u.): 0.00
Volume (Å³/f.u.): 108.2

***

Most stable: ii) (next structure +0.196 eV/atom)

***

i) Entry from the Alexandria database: a relaxed La2Pm crystal (PBE-GGA).

Structure (extended XYZ):
```
6
Lattice="-2.673 -2.482 0.682 1.727 -1.000 3.128 -8.056 10.852 7.917" Properties=species:S:1:pos:R:3 pbc="T T T"
Pm -6.725 9.060 6.609
Pm -1.331 1.793 1.308
La -5.859 5.515 7.199
La -0.473 -1.741 1.905
La -3.142 1.855 4.529
La -4.028 5.426 3.959
```

Space-group type: P4/mmm
M_tot (μB/f.u.): 0.00
Volume (Å³/f.u.): 107.8

***

ii) Entry from the Alexandria database: a relaxed La2Pm crystal (PBE-GGA).

Structure (extended XYZ):
```
3
Lattice="3.599 0.000 0.955 1.673 3.187 0.955 -0.546 -0.330 9.312" Properties=species:S:1:pos:R:3 pbc="T T T"
La 3.724 2.251 7.739
La 1.002 0.605 3.483
Pm 0.000 0.000 0.000
```

Space-group type: R-3m
M_tot (μB/f.u.): 0.00
Volume (Å³/f.u.): 109.1

***

Most stable: i) (next structure +0.006 eV/atom)

***

i) Entry from the Alexandria database: a relaxed La6Pm crystal (PBE-GGA).

Structure (extended XYZ):
```
7
Lattice="7.114 0.000 0.000 -2.371 6.708 0.000 -2.371 -3.354 5.809" Properties=species:S:1:pos:R:3 pbc="T T T"
La 1.186 -0.838 4.357
La 3.557 0.000 2.904
La -1.186 3.354 2.904
La 1.186 4.192 1.452
La -1.186 0.838 4.357
La 3.557 2.515 1.452
Pm 0.000 0.000 0.000
```

Space-group type: Im-3m
M_tot (μB/f.u.): 0.01
Volume (Å³/f.u.): 277.2

***

ii) Entry from the Alexandria database: a relaxed La6Pm crystal (PBE-GGA).

Structure (extended XYZ):
```
7
Lattice="-3.314 1.355 0.799 -0.056 -6.921 5.889 4.873 7.380 2.089" Properties=species:S:1:pos:R:3 pbc="T T T"
La -0.660 -1.179 3.182
La 2.751 -0.844 5.531
La 0.357 -3.493 5.710
La 1.145 5.307 3.066
La 2.163 2.993 5.594
La -1.248 2.658 3.245
Pm -1.657 0.677 0.399
```

Space-group type: R-3
M_tot (μB/f.u.): 0.00
Volume (Å³/f.u.): 257.6

***

Most stable: ii) (next structure +0.751 eV/atom)

***

i) Entry from the Alexandria database: a relaxed La3Pm7 crystal (PBE-GGA).

Structure (extended XYZ):
```
20
Lattice="6.613 0.000 0.000 0.000 11.103 0.000 0.000 -5.551 9.615" Properties=species:S:1:pos:R:3 pbc="T T T"
Pm 5.840 9.144 1.131
Pm 6.540 5.551 3.205
Pm 2.534 -3.592 8.484
Pm 2.534 0.000 2.262
Pm 4.807 7.862 4.539
Pm 5.840 5.551 7.353
Pm 3.233 0.000 6.410
Pm 4.807 5.551 0.537
Pm 2.534 3.592 8.484
Pm 1.500 0.000 9.078
Pm 1.500 2.310 5.076
Pm 4.807 3.241 4.539
Pm 5.840 1.959 1.131
Pm 1.500 -2.310 5.076
La 5.708 0.000 4.004
La 2.401 5.551 5.611
La 2.401 7.635 2.002
La 5.708 2.084 7.613
La 5.708 -2.084 7.613
La 2.401 3.468 2.002
```

Space-group type: P6_3mc
M_tot (μB/f.u.): 0.00
Volume (Å³/f.u.): 353.0

***

ii) Entry from the Alexandria database: a relaxed La3Pm7 crystal (PBE-GGA).

Structure (extended XYZ):
```
10
Lattice="4.977 0.000 -1.527 -1.001 6.505 -3.263 0.648 -0.574 10.990" Properties=species:S:1:pos:R:3 pbc="T T T"
La 4.175 0.962 4.735
La 0.449 4.968 1.465
La 0.000 0.000 0.000
Pm 3.670 4.211 3.089
Pm 2.412 0.195 7.865
Pm 2.718 2.485 -0.016
Pm 0.954 1.720 3.111
Pm 2.212 5.735 -1.665
Pm -0.500 3.252 -1.632
Pm 1.907 3.445 6.216
```

Space-group type: C2/m
M_tot (μB/f.u.): 0.00
Volume (Å³/f.u.): 352.0

***

Most stable: ii) (next structure +0.145 eV/atom)

***

i) Entry from the Alexandria database: a relaxed La3Pm2 crystal (PBE-GGA).

Structure (extended XYZ):
```
10
Lattice="7.045 0.000 0.000 3.523 6.102 0.000 3.523 2.034 8.789" Properties=species:S:1:pos:R:3 pbc="T T T"
Pm 3.523 2.034 3.760
Pm 10.568 6.102 8.154
Pm 3.523 2.034 0.634
Pm 10.568 6.102 5.029
La 6.965 6.102 6.591
La 5.244 5.015 2.197
La 8.766 5.155 2.197
La 7.126 2.034 2.197
La 5.325 2.981 6.591
La 8.847 3.121 6.591
```

Space-group type: R-3c
M_tot (μB/f.u.): 0.00
Volume (Å³/f.u.): 188.9

***

ii) Entry from the Alexandria database: a relaxed La3Pm2 crystal (PBE-GGA).

Structure (extended XYZ):
```
5
Lattice="3.703 0.000 0.000 1.852 3.207 0.000 1.852 1.069 15.114" Properties=species:S:1:pos:R:3 pbc="T T T"
Pm 1.852 1.069 1.468
Pm 5.555 3.207 13.646
La 1.852 1.069 10.628
La 3.703 2.138 7.557
La 5.555 3.207 4.486
```

Space-group type: R-3m
M_tot (μB/f.u.): 0.00
Volume (Å³/f.u.): 179.5

***

Most stable: ii) (next structure +0.225 eV/atom)